20
Lattice="-4.9234 2.8094 -0.2814 -1.5353 -3.1369 -4.4571 -3.3454 -5.3477 4.9160" Properties=species:S:1:pos:R:3 comment="Sr2MnTeO6 (meta-GGA SCAN, PBEsol geometry)" raw_formation_energy_kcal_per_mol_atoms=-54.46 crystal_system=monoclinic pbc="T T T"
O -2.7119 -1.7752 -3.3523
O -7.0119 -1.8525 -3.4013
O -8.1147 -5.2617 1.3641
Te -1.6727 -2.6739 2.4580
O -1.6893 -0.4136 -1.1865
Sr -6.4907 -5.6541 -0.8075
Mn 0.0000 0.0000 0.0000
Sr -3.3133 -0.0212 0.9851
O -4.3174 -1.2487 -1.1576
Sr -1.6617 -2.9657 -1.1083
O -4.0917 -4.2202 -1.2767
O -5.4866 -4.4265 1.3352
O -7.0922 -3.9000 3.5299
O -3.0178 -2.7534 1.0384
O -2.7921 -3.8227 3.5789
Sr -8.1423 -2.7095 1.2859
O -5.7123 -1.4550 1.4544
Te -3.2293 -0.1638 -2.3692
O -6.7862 -2.9218 -0.8608
Mn -4.9020 -2.8376 0.0888

4
Lattice="-3.5911 0.2525 -1.2497 -1.0860 -2.5822 2.5992 -0.6746 2.8055 2.5053" Properties=species:S:1:pos:R:3 comment="AsOsRu2 (meta-GGA SCAN, PBEsol geometry)" e_form_ev_per_atom=0.452 crystal_system=tetragonal pbc="T T T"
As -2.6759 0.2379 1.9274
Os -1.7955 0.1262 -0.6248
Ru -0.5430 -1.2911 1.2996
Ru -0.3373 1.4028 1.2527